MgGa | Alexandria via LeMat-Bulk | PBE | optimized geometry; total DFT energy (no corrections) = -2.47 eV per atom; symmetry = I4_1/a, No. 88; crystal system = tetragonal; DOS(E_F) = 0.77 states/eV/f.u.
1.0
-5.3184 5.3184 2.7751
5.3184 -5.3184 2.7751
5.3184 5.3184 -2.7751
Mg Ga
8 8
direct
0.0344 0.7259 0.0448 Mg
0.1811 0.9897 0.4552 Mg
0.2259 0.6811 0.6914 Mg
0.4897 0.5344 0.8086 Mg
0.5103 0.4656 0.1914 Mg
0.7741 0.3189 0.3086 Mg
0.8189 0.0103 0.5448 Mg
0.9656 0.2741 0.9552 Mg
0.0666 0.0109 0.8394 Ga
0.2728 0.4334 0.4444 Ga
0.3284 0.7728 0.3394 Ga
0.4891 0.8284 0.0556 Ga
0.5109 0.1716 0.9444 Ga
0.6716 0.2272 0.6606 Ga
0.7272 0.5666 0.5556 Ga
0.9334 0.9891 0.1606 Ga



PmPrCu2Se4 | Alexandria via LeMat-Bulk | PBE | optimized geometry; total DFT energy (no corrections) = -5.03 eV per atom; symmetry = I222, No. 23; crystal system = orthorhombic; ΔE_f (raw) = -103.90 kJ/mol of atoms; DOS(E_F) = 0.81 states/eV/f.u.
1.0
-3.4682 3.5095 3.9814
3.4682 -3.5095 3.9814
3.4682 3.5095 -3.9814
Pm Pr Cu Se
1 1 2 4
direct
0.0000 0.0000 0.0000 Pm
0.5000 0.5000 0.0000 Pr
0.1592 0.6592 0.5000 Cu
0.8408 0.3408 0.5000 Cu
0.0275 0.0555 0.4892 Se
0.4338 0.9445 0.9720 Se
0.5662 0.5383 0.5108 Se
0.9725 0.4617 0.0280 Se



Dy8Ga2Tc | Alexandria via LeMat-Bulk | PBE | optimized geometry; total DFT energy (no corrections) = -5.07 eV per atom; symmetry = C2/m, No. 12; crystal system = monoclinic; DOS(E_F) = 9.74 states/eV/f.u.
1.0
8.7535 -2.5377 0.0000
8.7535 2.5377 0.0000
-1.8430 0.0000 6.5349
Dy Ga Tc
8 2 1
direct
0.0229 0.0229 0.2848 Dy
0.2002 0.2002 0.7993 Dy
0.3435 0.3435 0.5432 Dy
0.4088 0.4088 0.0588 Dy
0.5912 0.5912 0.9412 Dy
0.6565 0.6565 0.4568 Dy
0.7998 0.7998 0.2007 Dy
0.9771 0.9771 0.7152 Dy
0.1886 0.1886 0.2207 Ga
0.8114 0.8114 0.7793 Ga
0.5000 0.5000 0.5000 Tc



Ba3Sn5O12 | Alexandria via LeMat-Bulk | PBE | optimized geometry; total DFT energy (no corrections) = -6.15 eV per atom; symmetry = Ia-3d, No. 230; crystal system = cubic; ΔE_f (raw) = -182.27 kJ/mol of atoms; DOS(E_F) = 3.41 states/eV/f.u.
1.0
-6.9753 6.9753 6.9753
6.9753 -6.9753 6.9753
6.9753 6.9753 -6.9753
Ba Sn O
12 20 48
direct
0.1250 0.2500 0.3750 Ba
0.1250 0.3750 0.7500 Ba
0.2500 0.3750 0.1250 Ba
0.2500 0.8750 0.6250 Ba
0.3750 0.1250 0.2500 Ba
0.3750 0.7500 0.1250 Ba
0.6250 0.2500 0.8750 Ba
0.6250 0.8750 0.7500 Ba
0.7500 0.1250 0.3750 Ba
0.7500 0.6250 0.8750 Ba
0.8750 0.6250 0.2500 Ba
0.8750 0.7500 0.6250 Ba
0.0000 0.0000 0.0000 Sn
0.0000 0.0000 0.5000 Sn
0.0000 0.5000 0.0000 Sn
0.0000 0.5000 0.5000 Sn
0.1250 0.7500 0.8750 Sn
0.1250 0.8750 0.2500 Sn
0.2500 0.1250 0.8750 Sn
0.2500 0.6250 0.3750 Sn
0.3750 0.2500 0.6250 Sn
0.3750 0.6250 0.7500 Sn
0.5000 0.0000 0.0000 Sn
0.5000 0.0000 0.5000 Sn
0.5000 0.5000 0.0000 Sn
0.5000 0.5000 0.5000 Sn
0.6250 0.3750 0.2500 Sn
0.6250 0.7500 0.3750 Sn
0.7500 0.3750 0.6250 Sn
0.7500 0.8750 0.1250 Sn
0.8750 0.1250 0.7500 Sn
0.8750 0.2500 0.1250 Sn
0.0132 0.1901 0.1123 O
0.0132 0.3230 0.9008 O
0.0778 0.6901 0.6770 O
0.0778 0.8877 0.4008 O
0.0992 0.6123 0.4222 O
0.0992 0.9868 0.6770 O
0.1123 0.0132 0.1901 O
0.1123 0.5992 0.9222 O
0.1770 0.1901 0.5778 O
0.1770 0.4868 0.5992 O
0.1901 0.1123 0.0132 O
0.1901 0.5778 0.1770 O
0.3099 0.3230 0.9222 O
0.3099 0.4868 0.3877 O
0.3230 0.9008 0.0132 O
0.3230 0.9222 0.3099 O
0.3877 0.3099 0.4868 O
0.3877 0.5778 0.9008 O
0.4008 0.0778 0.8877 O
0.4008 0.8230 0.5132 O
0.4222 0.0992 0.6123 O
0.4222 0.8230 0.8099 O
0.4868 0.3877 0.3099 O
0.4868 0.5992 0.1770 O
0.5132 0.4008 0.8230 O
0.5132 0.6123 0.6901 O
0.5778 0.1770 0.1901 O
0.5778 0.9008 0.3877 O
0.5992 0.1770 0.4868 O
0.5992 0.9222 0.1123 O
0.6123 0.4222 0.0992 O
0.6123 0.6901 0.5132 O
0.6770 0.0778 0.6901 O
0.6770 0.0992 0.9868 O
0.6901 0.5132 0.6123 O
0.6901 0.6770 0.0778 O
0.8099 0.4222 0.8230 O
0.8099 0.8877 0.9868 O
0.8230 0.5132 0.4008 O
0.8230 0.8099 0.4222 O
0.8877 0.4008 0.0778 O
0.8877 0.9868 0.8099 O
0.9008 0.0132 0.3230 O
0.9008 0.3877 0.5778 O
0.9222 0.1123 0.5992 O
0.9222 0.3099 0.3230 O
0.9868 0.6770 0.0992 O
0.9868 0.8099 0.8877 O



GaAgP2Se6 | Alexandria via LeMat-Bulk | PBE | optimized geometry; total DFT energy (no corrections) = -3.97 eV per atom; symmetry = P-31c, No. 163; crystal system = trigonal; ΔE_f (raw) = -20.16 kJ/mol of atoms
1.0
6.4512 0.0000 0.0000
-3.2256 5.5869 0.0000
0.0000 0.0000 14.6851
Ga Ag P Se
2 2 4 12
direct
0.0000 0.0000 0.2500 Ga
0.0000 0.0000 0.7500 Ga
0.3333 0.6667 0.2500 Ag
0.6667 0.3333 0.7500 Ag
0.3333 0.6667 0.6731 P
0.3333 0.6667 0.8269 P
0.6667 0.3333 0.1731 P
0.6667 0.3333 0.3269 P
0.0193 0.3190 0.8681 Se
0.0193 0.7003 0.6319 Se
0.2997 0.3190 0.6319 Se
0.2997 0.9807 0.8681 Se
0.3190 0.0193 0.3681 Se
0.3190 0.2997 0.1319 Se
0.6810 0.7003 0.8681 Se
0.6810 0.9807 0.6319 Se
0.7003 0.0193 0.1319 Se
0.7003 0.6810 0.3681 Se
0.9807 0.2997 0.3681 Se
0.9807 0.6810 0.1319 Se



Ta2TiRh | Alexandria via LeMat-Bulk | PBE | optimized geometry; total DFT energy (no corrections) = -9.50 eV per atom; symmetry = I-42d, No. 122; crystal system = tetragonal; DOS(E_F) = 4.24 states/eV/f.u.
1.0
-3.6780 3.6780 2.6853
3.6780 -3.6780 2.6853
3.6780 3.6780 -2.6853
Ta Ti Rh
4 2 2
direct
0.0993 0.6250 0.9743 Ta
0.3750 0.3493 0.4743 Ta
0.6507 0.1250 0.0257 Ta
0.8750 0.9007 0.5257 Ta
0.2500 0.7500 0.5000 Ti
0.5000 0.5000 0.0000 Ti
0.0000 0.0000 0.0000 Rh
0.7500 0.2500 0.5000 Rh



CdInIr | Alexandria via LeMat-Bulk | PBE | optimized geometry; total DFT energy (no corrections) = -4.05 eV per atom; symmetry = P3m1, No. 156; crystal system = trigonal; DOS(E_F) = 0.96 states/eV/f.u.
1.0
4.6149 0.0000 0.0000
-2.3075 3.9966 0.0000
0.0000 0.0000 3.1326
Cd In Ir
1 1 1
direct
0.0000 0.0000 0.0000 Cd
0.6667 0.3333 0.4972 In
0.3333 0.6667 0.5029 Ir



AcSmAgBi | Alexandria via LeMat-Bulk | PBE | optimized geometry; total DFT energy (no corrections) = -4.33 eV per atom; symmetry = F-43m, No. 216; crystal system = cubic; DOS(E_F) = 5.13 states/eV/f.u.
1.0
0.0000 3.9574 3.9574
3.9574 0.0000 3.9574
3.9574 3.9574 0.0000
Ac Sm Ag Bi
1 1 1 1
direct
0.0000 0.0000 0.0000 Ac
0.5000 0.5000 0.5000 Sm
0.7500 0.7500 0.7500 Ag
0.2500 0.2500 0.2500 Bi



no.,spin magnetization (μB per formula unit)
1,0.0
2,0.0
3,0.0
4,0.0
5,0.0
6,0.0
7,0.0
8,0.0